Tb5Nd4Mg | GGA-PBE | optimized geometry

The structure in CIF format:
```
data_Tb5Nd4Mg
_space_group_name_H-M_alt 'P 1'
_space_group_IT_number 1
_cell_length_a 4.171
_cell_length_b 4.171
_cell_length_c 18.651
_cell_angle_alpha 90.00
_cell_angle_beta 90.00
_cell_angle_gamma 90.00
loop_
_space_group_symop_operation_xyz
'x,y,z'
loop_
_atom_site_label
_atom_site_type_symbol
_atom_site_fract_x
_atom_site_fract_y
_atom_site_fract_z
Tb1 Tb 0.500 0.500 0.092
Tb2 Tb 0.500 0.500 0.296
Tb3 Tb 0.500 0.500 0.500
Tb4 Tb 0.500 0.500 0.704
Tb5 Tb 0.500 0.500 0.908
Nd1 Nd 0.000 0.000 0.201
Nd2 Nd 0.000 0.000 0.398
Nd3 Nd 0.000 0.000 0.602
Nd4 Nd 0.000 0.000 0.799
Mg1 Mg 0.000 0.000 0.000
```

* raw total energy: -42.911 eV per cell
* SG: P4/mmm (123)
* density of states at the Fermi level: 1.7835 states/eV/atom
* formation energy: 91 meV/atom


TbNd5Mg | GGA-PBE | optimized geometry

The structure in CIF format:
```
data_TbNd5Mg
_space_group_name_H-M_alt 'P 1'
_space_group_IT_number 1
_cell_length_a 9.702
_cell_length_b 6.535
_cell_length_c 11.975
_cell_angle_alpha 75.89
_cell_angle_beta 90.00
_cell_angle_gamma 137.93
loop_
_space_group_symop_operation_xyz
'x,y,z'
loop_
_atom_site_label
_atom_site_type_symbol
_atom_site_fract_x
_atom_site_fract_y
_atom_site_fract_z
Tb1 Tb 0.495 0.000 0.250
Tb2 Tb 0.505 0.000 0.750
Nd1 Nd 0.021 0.413 0.156
Nd2 Nd 0.773 0.229 0.463
Nd3 Nd 0.392 0.413 0.656
Nd4 Nd 0.139 0.000 0.250
Nd5 Nd 0.544 0.771 0.037
Nd6 Nd 0.456 0.229 0.963
Nd7 Nd 0.861 0.000 0.750
Nd8 Nd 0.608 0.587 0.344
Nd9 Nd 0.227 0.771 0.537
Nd10 Nd 0.979 0.587 0.844
Mg1 Mg 0.000 0.000 0.000
Mg2 Mg 0.000 0.000 0.500
```

* raw total energy: -58.705 eV per cell
* SG: C2/c (15)
* density of states at the Fermi level: 1.2400 states/eV/atom
* formation energy: 102 meV/atom


Tb8Nd3Mg | GGA-PBE | optimized geometry

The structure in CIF format:
```
data_Tb8Nd3Mg
_space_group_name_H-M_alt 'P 1'
_space_group_IT_number 1
_cell_length_a 8.336
_cell_length_b 8.336
_cell_length_c 8.336
_cell_angle_alpha 94.89
_cell_angle_beta 117.22
_cell_angle_gamma 117.22
loop_
_space_group_symop_operation_xyz
'x,y,z'
loop_
_atom_site_label
_atom_site_type_symbol
_atom_site_fract_x
_atom_site_fract_y
_atom_site_fract_z
Tb1 Tb 0.487 0.239 0.239
Tb2 Tb 0.513 0.752 0.752
Tb3 Tb 0.000 0.761 0.248
Tb4 Tb 0.000 0.248 0.761
Tb5 Tb 0.252 0.374 0.374
Tb6 Tb 0.748 0.121 0.121
Tb7 Tb 0.000 0.626 0.879
Tb8 Tb 0.000 0.879 0.626
Nd1 Nd 0.500 0.750 0.250
Nd2 Nd 0.500 0.250 0.750
Nd3 Nd 0.000 0.500 0.500
Mg1 Mg 0.000 0.000 0.000
```

* raw total energy: -46.110 eV per cell
* SG: I-42m (121)
* density of states at the Fermi level: 1.5021 states/eV/atom
* formation energy: 569 meV/atom


Tb5Nd6Mg2 | GGA-PBE | optimized geometry

The structure in CIF format:
```
data_Tb5Nd6Mg2
_space_group_name_H-M_alt 'P 1'
_space_group_IT_number 1
_cell_length_a 3.556
_cell_length_b 10.559
_cell_length_c 22.985
_cell_angle_alpha 90.00
_cell_angle_beta 90.00
_cell_angle_gamma 90.00
loop_
_space_group_symop_operation_xyz
'x,y,z'
loop_
_atom_site_label
_atom_site_type_symbol
_atom_site_fract_x
_atom_site_fract_y
_atom_site_fract_z
Tb1 Tb 0.500 0.334 0.494
Tb2 Tb 0.500 0.666 0.506
Tb3 Tb 0.500 0.834 0.006
Tb4 Tb 0.500 0.166 0.994
Tb5 Tb 0.500 0.581 0.251
Tb6 Tb 0.500 0.419 0.749
Tb7 Tb 0.500 0.081 0.249
Tb8 Tb 0.500 0.919 0.751
Tb9 Tb 0.500 0.500 0.000
Tb10 Tb 0.500 0.000 0.500
Nd1 Nd 0.000 0.146 0.383
Nd2 Nd 0.000 0.854 0.617
Nd3 Nd 0.000 0.646 0.117
Nd4 Nd 0.000 0.354 0.883
Nd5 Nd 0.500 0.331 0.134
Nd6 Nd 0.500 0.669 0.866
Nd7 Nd 0.500 0.831 0.366
Nd8 Nd 0.500 0.169 0.634
Nd9 Nd 0.000 0.518 0.387
Nd10 Nd 0.000 0.482 0.613
Nd11 Nd 0.000 0.018 0.113
Nd12 Nd 0.000 0.982 0.887
Mg1 Mg 0.000 0.331 0.261
Mg2 Mg 0.000 0.669 0.739
Mg3 Mg 0.000 0.831 0.239
Mg4 Mg 0.000 0.169 0.761
```

* raw total energy: -106.647 eV per cell
* SG: Pbam (55)
* density of states at the Fermi level: 1.5883 states/eV/atom
* formation energy: 125 meV/atom


TbNd2Mg3 | GGA-PBE | optimized geometry

The structure in CIF format:
```
data_TbNd2Mg3
_space_group_name_H-M_alt 'P 1'
_space_group_IT_number 1
_cell_length_a 3.852
_cell_length_b 3.852
_cell_length_c 11.605
_cell_angle_alpha 90.00
_cell_angle_beta 90.00
_cell_angle_gamma 90.00
loop_
_space_group_symop_operation_xyz
'x,y,z'
loop_
_atom_site_label
_atom_site_type_symbol
_atom_site_fract_x
_atom_site_fract_y
_atom_site_fract_z
Tb1 Tb 0.500 0.500 0.500
Nd1 Nd 0.500 0.500 0.830
Nd2 Nd 0.500 0.500 0.170
Mg1 Mg 0.000 0.000 0.000
Mg2 Mg 0.000 0.000 0.660
Mg3 Mg 0.000 0.000 0.340
```

* raw total energy: -19.559 eV per cell
* SG: P4/mmm (123)
* density of states at the Fermi level: 1.1524 states/eV/atom
* formation energy: -102 meV/atom


Tb2NdMg4 | GGA-PBE | optimized geometry

The structure in CIF format:
```
data_Tb2NdMg4
_space_group_name_H-M_alt 'P 1'
_space_group_IT_number 1
_cell_length_a 5.543
_cell_length_b 6.010
_cell_length_c 7.138
_cell_angle_alpha 114.90
_cell_angle_beta 90.00
_cell_angle_gamma 90.00
loop_
_space_group_symop_operation_xyz
'x,y,z'
loop_
_atom_site_label
_atom_site_type_symbol
_atom_site_fract_x
_atom_site_fract_y
_atom_site_fract_z
Tb1 Tb 0.500 0.134 0.267
Tb2 Tb 0.500 0.866 0.733
Nd1 Nd 0.000 0.500 0.000
Mg1 Mg 0.500 0.620 0.240
Mg2 Mg 0.000 0.749 0.498
Mg3 Mg 0.500 0.380 0.760
Mg4 Mg 0.000 0.251 0.502
```

* raw total energy: -17.941 eV per cell
* SG: Cmmm (65)
* density of states at the Fermi level: 0.8320 states/eV/atom
* formation energy: 352 meV/atom


Tb7Nd2Mg | GGA-PBE | optimized geometry

The structure in CIF format:
```
data_Tb7Nd2Mg
_space_group_name_H-M_alt 'P 1'
_space_group_IT_number 1
_cell_length_a 5.286
_cell_length_b 9.439
_cell_length_c 9.439
_cell_angle_alpha 125.56
_cell_angle_beta 90.00
_cell_angle_gamma 90.00
loop_
_space_group_symop_operation_xyz
'x,y,z'
loop_
_atom_site_label
_atom_site_type_symbol
_atom_site_fract_x
_atom_site_fract_y
_atom_site_fract_z
Tb1 Tb 0.000 0.797 0.203
Tb2 Tb 0.000 0.203 0.797
Tb3 Tb 0.500 0.073 0.283
Tb4 Tb 0.500 0.927 0.717
Tb5 Tb 0.500 0.283 0.073
Tb6 Tb 0.500 0.717 0.927
Tb7 Tb 0.500 0.500 0.500
Nd1 Nd 0.500 0.705 0.295
Nd2 Nd 0.500 0.295 0.705
Mg1 Mg 0.000 0.000 0.000
```

* raw total energy: -37.061 eV per cell
* SG: Cmmm (65)
* density of states at the Fermi level: 1.1074 states/eV/atom
* formation energy: 648 meV/atom


Tb5NdMg6 | GGA-PBE | optimized geometry

The structure in CIF format:
```
data_Tb5NdMg6
_space_group_name_H-M_alt 'P 1'
_space_group_IT_number 1
_cell_length_a 5.395
_cell_length_b 7.614
_cell_length_c 8.532
_cell_angle_alpha 90.00
_cell_angle_beta 71.63
_cell_angle_gamma 90.00
loop_
_space_group_symop_operation_xyz
'x,y,z'
loop_
_atom_site_label
_atom_site_type_symbol
_atom_site_fract_x
_atom_site_fract_y
_atom_site_fract_z
Tb1 Tb 0.665 0.500 0.669
Tb2 Tb 0.333 0.000 0.336
Tb3 Tb 0.000 0.500 0.000
Tb4 Tb 0.667 0.000 0.664
Tb5 Tb 0.335 0.500 0.331
Mg1 Mg 0.833 0.748 0.336
Mg2 Mg 0.833 0.252 0.336
Mg3 Mg 0.500 0.252 0.000
Mg4 Mg 0.500 0.748 0.000
Mg5 Mg 0.167 0.748 0.664
Mg6 Mg 0.167 0.252 0.664
Nd1 Nd 0.000 0.000 0.000
```

* raw total energy: -38.571 eV per cell
* SG: P2/m (10)
* density of states at the Fermi level: 1.2535 states/eV/atom
* formation energy: -90 meV/atom


Question: What is the density of states at the Fermi level in the fourth record?
Answer: 1.5883 states/eV/atom